(1)
A plane-wave DFT calculation with GGA-PBE was carried out for a geometry-optimized BaAlFe2Pt structure.

```
data_BaAlFe2Pt
_chemical_formula_sum 'Ba1 Al1 Fe2 Pt1'
_cell_length_a 4.7029
_cell_length_b 4.7029
_cell_length_c 5.8287
_cell_angle_alpha 90.00
_cell_angle_beta 90.00
_cell_angle_gamma 90.00
_symmetry_space_group_name_H-M 'P 4/m m m'
_symmetry_Int_Tables_number 123
_symmetry_space_group_name_Hall '-P 4 2'
loop_
_atom_site_label
_atom_site_fract_x
_atom_site_fract_y
_atom_site_fract_z
_atom_site_occupancy
Ba1 0.0000 0.0000 0.0000 1
Al1 0.5000 0.5000 0.0000 1
Fe1 0.0000 0.5000 0.5000 1
Pt1 0.0000 0.0000 0.5000 1
```

Summary:
ΔE_f	1.23	eV/atom
size of the total moment	0.30	μB/cell
VASP energy	-22.485	eV/cell

***

(2)
A plane-wave DFT calculation with GGA-PBE was carried out for a geometry-optimized SnPW3 structure.

```
data_SnPW3
_chemical_formula_sum 'Sn1 P1 W3'
_cell_length_a 4.9066
_cell_length_b 4.9066
_cell_length_c 4.9066
_cell_angle_alpha 90.00
_cell_angle_beta 90.00
_cell_angle_gamma 90.00
_symmetry_space_group_name_H-M 'P m -3 m'
_symmetry_Int_Tables_number 221
_symmetry_space_group_name_Hall '-P 4 2 3'
loop_
_atom_site_label
_atom_site_fract_x
_atom_site_fract_y
_atom_site_fract_z
_atom_site_occupancy
Sn1 0.0000 0.0000 0.0000 1
P1 0.5000 0.5000 0.5000 1
W1 0.0000 0.0000 0.5000 1
```

Summary:
ΔE_f	3.07	eV/atom
offset from the most stable computed form	2.230	eV per atom
size of the total moment	0.00	μB/cell
VASP energy	-32.944	eV/cell

***

(3)
A plane-wave DFT calculation with GGA-PBE was carried out for a geometry-optimized K2MgU2S6 structure.

```
data_K2MgU2S6
_chemical_formula_sum 'K4 Mg2 U4 S12'
_cell_length_a 6.8235
_cell_length_b 11.8683
_cell_length_c 7.8502
_cell_angle_alpha 90.00
_cell_angle_beta 106.36
_cell_angle_gamma 90.00
_symmetry_space_group_name_H-M 'C 1 2/m 1'
_symmetry_Int_Tables_number 12
_symmetry_space_group_name_Hall '-C 2y'
loop_
_atom_site_label
_atom_site_fract_x
_atom_site_fract_y
_atom_site_fract_z
_atom_site_occupancy
K1 0.0000 0.1641 0.0000 1
Mg1 0.0000 0.0000 0.5000 1
U1 0.0000 0.3345 0.5000 1
S1 0.2290 0.1685 0.6931 1
S2 0.2360 0.5000 0.6905 1
```

Summary:
formation energy without anion corrections	-1.4129	eV per atom
size of the total moment	8.00	μB/cell
VASP energy	-133.345	eV/cell

***

Among the records above, which one has the highest VASP energy?
BaAlFe2Pt

***

Which of these has the highest VASP energy?
BaAlFe2Pt

***

Among the records above, which one has the highest size of the total moment?
K2MgU2S6

***

Which of these has the highest VASP energy?
BaAlFe2Pt